(1)
A plane-wave DFT calculation with PBE was carried out for an optimized crystal structure of ThAs2.

- Spin magnetization: 0.000 μB/atom
- Volume: 74.3 Å³ per cell
- Energy relative to the elements: -0.83 eV per atom
- Final energy: -19.2 eV per cell

abc: 4.0298 4.0298 5.3852
angles: 111.87 111.87 90.00
Atoms (fractional coordinates):
Th1 0.0000 0.0000 0.0000
As1 0.3654 0.3654 0.7294
As2 0.6346 0.6346 0.2706

=====

(2)
A plane-wave DFT calculation with PBE was carried out for an optimized crystal structure of Th5As4.

- Spin magnetization: 0.000 μB/atom
- Volume: 285.5 Å³ per cell
- Energy relative to the elements: -0.93 eV per atom
- Final energy: -64.0 eV per cell

abc: 8.7294 8.7294 8.7294
angles: 92.93 92.93 153.86
Atoms (fractional coordinates):
Th1 0.0000 0.0000 0.0000
Th2 0.2684 0.5930 0.8614
Th3 0.4070 0.2684 0.6754
Th4 0.5930 0.7316 0.3246
Th5 0.7316 0.4070 0.1386
As1 0.0983 0.7677 0.8660
As2 0.2323 0.0983 0.3306
As3 0.7677 0.9017 0.6694
As4 0.9017 0.2323 0.1340

=====

(3)
A plane-wave DFT calculation with PBE was carried out for an optimized crystal structure of ThTi2As2.

- Spin magnetization: 0.000 μB/atom
- Volume: 220.1 Å³ per cell
- Energy relative to the elements: -0.74 eV per atom
- Final energy: -72.5 eV per cell

abc: 7.1282 6.7968 6.5083
angles: 64.75 59.59 55.67
Atoms (fractional coordinates):
Th1 0.1250 0.1250 0.1250
Th2 0.8750 0.8750 0.8750
Ti1 0.2389 0.5111 0.2389
Ti2 0.4889 0.7611 0.4889
Ti3 0.5111 0.2389 0.5111
Ti4 0.7611 0.4889 0.7611
As1 0.1597 0.1597 0.5903
As2 0.4097 0.4097 0.8403
As3 0.5903 0.5903 0.1597
As4 0.8403 0.8403 0.4097